The following is a DFT calculation (GGA+U) of a geometry-optimized Cs2MoI2F4 structure.

The structure in CIF format:
```
data_Cs2MoI2F4
_chemical_formula_sum 'Cs4 Mo2 I4 F8'
_symmetry_space_group_name_H-M 'I 4/m m m'
_symmetry_Int_Tables_number 139
_symmetry_space_group_name_Hall '-I 4 2'
_cell_length_a 7.6825
_cell_length_b 7.6825
_cell_length_c 9.7087
_cell_angle_alpha 90.00
_cell_angle_beta 90.00
_cell_angle_gamma 90.00
loop_
_atom_site_label
_atom_site_fract_x
_atom_site_fract_y
_atom_site_fract_z
_atom_site_occupancy
Cs1 0.0000 0.5000 0.2500 1
Mo1 0.0000 0.0000 0.0000 1
I1 0.0000 0.0000 0.2934 1
F1 0.1823 0.1823 0.0000 1
```

Final energy (eV/atom): -4.264
Crystal system: tetragonal
DOS(E_F) (states/eV/atom): 0.00